Compound: LaIn2B
Source: Alexandria
Functional: GGA-PBE
Structure: relaxed

Output
Fermi-level density of states   0.21 states/eV/atom
M_tot   0.00 μB/f.u.

a b c (Å): 8.067 8.067 6.404
angles (deg): 50.96 50.96 90.00
Atoms (fractional coordinates):
La 0.750 0.250 0.500
La 0.000 0.000 0.000
B 0.500 0.500 0.000
B 0.250 0.750 0.500
In 0.875 0.787 0.750
In 0.375 0.463 0.750
In 0.537 0.125 0.250
In 0.213 0.625 0.250

Compound: SiHg2B
Source: Alexandria
Functional: GGA-PBE
Structure: relaxed

Output
Formation energy (no corrections)   1231 meV/atom
Fermi-level density of states   0.57 states/eV/atom
M_tot   0.00 μB/f.u.
Relative energy among the computed polymorphs   0.2292 eV per atom

a b c (Å): 4.716 4.716 4.716
angles (deg): 60.00 60.00 60.00
Atoms (fractional coordinates):
B 0.000 0.000 0.000
Si 0.500 0.500 0.500
Hg 0.750 0.750 0.750
Hg 0.250 0.250 0.250

Compound: Li2Ac3Tl9
Source: Alexandria
Functional: GGA-PBE
Structure: relaxed

Output
Fermi-level density of states   0.62 states/eV/atom
M_tot   0.00 μB/f.u.

a b c (Å): 7.224 7.224 8.954
angles (deg): 90.00 90.00 120.00
Atoms (fractional coordinates):
Tl 0.000 0.500 0.000
Tl 0.700 0.850 0.650
Tl 0.150 0.300 0.650
Tl 0.500 0.500 0.000
Tl 0.850 0.700 0.350
Tl 0.150 0.850 0.650
Tl 0.850 0.150 0.350
Tl 0.500 0.000 0.000
Tl 0.300 0.150 0.350
Li 0.667 0.333 0.200
Li 0.333 0.667 0.800
Ac 0.333 0.667 0.330
Ac 0.667 0.333 0.670
Ac 0.000 0.000 0.000

Compound: KCl
Source: Alexandria
Functional: GGA-PBE
Structure: relaxed

Output
Formation energy (no corrections)   -1739 meV/atom
Fermi-level density of states   0.00 states/eV/atom
M_tot   0.09 μB/f.u.

a b c (Å): 10.760 10.760 10.760
angles (deg): 27.74 27.74 27.74
Atoms (fractional coordinates):
K 0.287 0.287 0.287
K 0.463 0.463 0.463
Cl 0.796 0.796 0.796
Cl 0.954 0.954 0.954

Compound: ThTcSn
Source: Alexandria
Functional: GGA-PBE
Structure: relaxed

Output
Fermi-level density of states   0.73 states/eV/atom
M_tot   0.00 μB/f.u.
Relative energy among the computed polymorphs   0.1145 eV per atom

a b c (Å): 7.920 6.326 6.582
angles (deg): 66.33 90.00 90.00
Atoms (fractional coordinates):
Tc 0.428 0.169 0.869
Tc 0.072 0.669 0.369
Tc 0.572 0.831 0.131
Tc 0.928 0.331 0.631
Th 0.194 0.133 0.541
Th 0.694 0.367 0.959
Th 0.806 0.867 0.459
Th 0.306 0.633 0.041
Sn 0.104 0.177 0.043
Sn 0.604 0.323 0.457
Sn 0.396 0.677 0.543
Sn 0.896 0.823 0.957

Compound: Fe2ReNi
Source: Alexandria
Functional: GGA-PBE
Structure: relaxed

Output
Fermi-level density of states   0.91 states/eV/atom
M_tot   4.15 μB/f.u.

a b c (Å): 4.451 4.451 4.488
angles (deg): 80.87 80.87 33.82
Atoms (fractional coordinates):
Fe 0.003 0.003 0.997
Fe 0.751 0.751 0.747
Ni 0.498 0.498 0.505
Re 0.248 0.248 0.251

Compound: BeAlSi2
Source: Alexandria
Functional: GGA-PBE
Structure: relaxed

Output
Formation energy (no corrections)   332 meV/atom
Fermi-level density of states   0.28 states/eV/atom
M_tot   0.00 μB/f.u.
Relative energy among the computed polymorphs   0.0184 eV per atom

a b c (Å): 4.673 4.673 4.623
angles (deg): 75.89 75.89 33.28
Atoms (fractional coordinates):
Al 0.513 0.513 0.503
Si 0.750 0.750 0.757
Si 0.987 0.987 0.022
Be 0.249 0.249 0.218

Compound: YGa2Pb
Source: Alexandria
Functional: GGA-PBE
Structure: relaxed

Output
Fermi-level density of states   0.53 states/eV/atom
M_tot   0.00 μB/f.u.

a b c (Å): 4.376 4.569 4.569
angles (deg): 90.00 90.00 90.00
Atoms (fractional coordinates):
Ga 0.000 0.000 0.500
Ga 0.000 0.500 0.000
Y 0.500 0.500 0.500
Pb 0.500 0.000 0.000

| no. | energy (eV for the cell shown) |
| --- | --- |
| 1 | -33.150 |
| 2 | -7.781 |
| 3 | -41.129 |
| 4 | -12.845 |
| 5 | -87.891 |
| 6 | -34.839 |
| 7 | -16.988 |
| 8 | -17.743 |